Here is a relaxed structure of VFePRu2 from Alexandria via LeMat-Bulk. Energies are from PBE.

The space group is P4/mmm (No. 123) and the conventional cell measures 4.405, 4.405 and 4.188 Å, with angles of 90.00, 90.00 and 90.00 degrees. Symmetry generates all atoms from V at (0.000, 0.000, 0.000), Fe at (0.000, 0.000, 0.500), P at (0.500, 0.500, 0.000) and Ru at (0.000, 0.500, 0.500).

For the formation energy, the calculation gives 1.1942 eV/atom.


Here is a relaxed structure of V2FePRu from Alexandria via LeMat-Bulk. Energies are from PBE.

The space group is P4/mmm (No. 123) and the conventional cell measures 4.260, 4.260 and 4.235 Å, with angles of 90.00, 90.00 and 90.00 degrees. Symmetry generates all atoms from V at (0.000, 0.500, 0.000), Fe at (0.000, 0.000, 0.500), P at (0.500, 0.500, 0.000) and Ru at (0.500, 0.500, 0.500).

For the formation energy, the calculation gives 0.6396 eV/atom.


Here is a relaxed structure of FeP3S from Alexandria via LeMat-Bulk. Energies are from PBE.

The space group is Pm-3m (No. 221) and the conventional cell measures 4.313, 4.313 and 4.313 Å, with angles of 90.00, 90.00 and 90.00 degrees. Symmetry generates all atoms from Fe at (0.000, 0.000, 0.000), P at (0.000, 0.500, 0.500) and S at (0.500, 0.500, 0.500).

The calculation puts the energy relative to the elements, uncorrected at 6.644 eV per formula unit.


Here is a relaxed structure of FePS3 from Alexandria via LeMat-Bulk. Energies are from PBE.

The space group is Pm-3m (No. 221) and the conventional cell measures 4.468, 4.468 and 4.468 Å, with angles of 90.00, 90.00 and 90.00 degrees. Symmetry generates all atoms from Fe at (0.000, 0.000, 0.000), P at (0.500, 0.500, 0.500) and S at (0.000, 0.500, 0.500).

The calculation puts the energy relative to the elements, uncorrected at 3.541 eV per formula unit.


Here is a relaxed structure of FePS3 from Alexandria via LeMat-Bulk. Energies are from PBE.

The space group is Pm-3m (No. 221) and the conventional cell measures 4.398, 4.398 and 4.398 Å, with angles of 90.00, 90.00 and 90.00 degrees. Symmetry generates all atoms from Fe at (0.000, 0.000, 0.000), P at (0.500, 0.500, 0.500) and S at (0.000, 0.000, 0.500).

The calculation puts the energy relative to the elements, uncorrected at 3.333 eV per formula unit.


Here is a relaxed structure of FePS from Alexandria via LeMat-Bulk. Energies are from PBE.

The space group is P2_1/c (No. 14) and the conventional cell measures 5.521, 5.500 and 5.569 Å, with angles of 90.00, 111.32 and 90.00 degrees. Symmetry generates all atoms from Fe at (0.224, 0.000, 0.207), P at (0.353, 0.128, 0.626) and S at (0.160, 0.627, 0.316).

The calculation puts the energy relative to the elements, uncorrected at -1.601 eV per formula unit.


Here is a relaxed structure of Fe3PS from Alexandria via LeMat-Bulk. Energies are from PBE.

The space group is Pm-3m (No. 221) and the conventional cell measures 4.163, 4.163 and 4.163 Å, with angles of 90.00, 90.00 and 90.00 degrees. Symmetry generates all atoms from Fe at (0.000, 0.000, 0.500), P at (0.500, 0.500, 0.500) and S at (0.000, 0.000, 0.000).

The calculation puts the energy relative to the elements, uncorrected at 2.239 eV per formula unit.


Here is a relaxed structure of FeP2S2 from Alexandria via LeMat-Bulk. Energies are from PBE.

The space group is P4/mmm (No. 123) and the conventional cell measures 4.287, 4.287 and 4.630 Å, with angles of 90.00, 90.00 and 90.00 degrees. Symmetry generates all atoms from Fe at (0.000, 0.000, 0.000), P at (0.000, 0.000, 0.500), P at (0.500, 0.500, 0.500) and S at (0.000, 0.500, 0.000).

The calculation puts the energy relative to the elements, uncorrected at 3.592 eV per formula unit.